Compound: DyVTc2
Source: Alexandria
Functional: GGA-PBE
Structure: optimized geometry

Cell: 3.076 3.076 8.539 Å, 79.62 79.62 60.00°
Element x y z (fractional)
V1 0.000 0.000 0.000
Tc1 0.739 0.739 0.784
Tc2 0.261 0.261 0.216
Dy1 0.500 0.500 0.500

Properties
The calculation puts the energy above the lowest structure with this stoichiometry at 0.274 eV/atom. As for the formation energy from the elements: 0.243 eV per atom. The total magnetization comes out at 0.00 μB/atom.

Compound: Dy2Tc3W
Source: Alexandria
Functional: GGA-PBE
Structure: optimized geometry

Cell: 5.491 5.491 5.383 Å, 90.16 120.58 119.89°
Element x y z (fractional)
Dy1 0.750 0.375 0.126
Dy2 0.250 0.625 0.874
Tc1 0.500 0.500 0.500
Tc2 0.000 0.000 0.500
Tc3 0.500 0.000 0.500
W1 0.000 0.000 0.000

Properties
As for the formation energy from the elements: -0.110 eV per atom. The total magnetization comes out at 0.00 μB/atom.

Compound: DyTc2W
Source: Alexandria
Functional: GGA-PBE
Structure: optimized geometry

Cell: 3.207 3.207 6.832 Å, 90.00 90.00 90.00°
Element x y z (fractional)
Tc1 0.000 0.000 0.783
Tc2 0.000 0.000 0.217
W1 0.500 0.500 0.000
Dy1 0.500 0.500 0.500

Properties
As for the formation energy from the elements: 0.001 eV per atom. The total magnetization comes out at 0.00 μB/atom.

Compound: Dy3Tc8W
Source: Alexandria
Functional: GGA-PBE
Structure: optimized geometry

Cell: 5.329 5.422 9.254 Å, 72.80 70.18 59.34°
Element x y z (fractional)
Dy1 0.614 0.633 0.121
Dy2 0.986 0.009 0.996
Dy3 0.522 0.488 0.501
Tc1 0.560 0.073 0.805
Tc2 0.069 0.560 0.313
Tc3 0.559 0.564 0.805
Tc4 0.069 0.056 0.313
Tc5 0.824 0.807 0.561
Tc6 0.292 0.321 0.066
Tc7 0.067 0.568 0.797
Tc8 0.526 0.064 0.344
W1 0.161 0.105 0.628

Properties
As for the formation energy from the elements: 0.000 eV per atom. The total magnetization comes out at 0.00 μB/atom.

Compound: DyY3Tc
Source: Alexandria
Functional: GGA-PBE
Structure: optimized geometry

Cell: 3.916 6.349 12.091 Å, 82.20 80.68 72.04°
Element x y z (fractional)
Dy1 0.111 0.493 0.285
Dy2 0.229 0.537 0.005
Y1 0.453 0.946 0.148
Y2 0.759 0.722 0.761
Y3 0.102 0.174 0.623
Y4 0.984 0.128 0.904
Y5 0.784 0.047 0.385
Y6 0.428 0.621 0.523
Tc1 0.784 0.282 0.149
Tc2 0.426 0.388 0.760

Properties
As for the formation energy from the elements: -0.057 eV per atom. The total magnetization comes out at 0.00 μB/atom.

Compound: Dy2Y2Tc
Source: Alexandria
Functional: GGA-PBE
Structure: optimized geometry

Cell: 7.453 7.066 7.645 Å, 73.80 58.05 58.17°
Element x y z (fractional)
Dy1 0.571 0.449 0.252
Dy2 0.980 0.449 0.748
Dy3 0.429 0.551 0.748
Dy4 0.020 0.551 0.252
Y1 0.170 0.000 0.103
Y2 0.830 0.000 0.897
Y3 0.649 0.000 0.590
Y4 0.351 0.000 0.410
Tc1 0.871 0.258 0.500
Tc2 0.129 0.742 0.500

Properties
As for the formation energy from the elements: 0.003 eV per atom. The total magnetization comes out at 0.00 μB/atom.

Compound: DyY2Tc9
Source: Alexandria
Functional: GGA-PBE
Structure: optimized geometry

Cell: 5.358 5.358 9.263 Å, 73.19 73.19 60.00°
Element x y z (fractional)
Dy1 0.000 0.000 0.000
Y1 0.857 0.857 0.430
Y2 0.143 0.143 0.570
Tc1 0.662 0.662 0.014
Tc2 0.338 0.338 0.986
Tc3 0.500 0.500 0.500
Tc4 0.412 0.412 0.250
Tc5 0.927 0.412 0.249
Tc6 0.412 0.927 0.249
Tc7 0.588 0.588 0.750
Tc8 0.588 0.073 0.751
Tc9 0.073 0.588 0.751

Properties
As for the formation energy from the elements: -0.048 eV per atom. The total magnetization comes out at 0.00 μB/atom.

Compound: Dy8Y2Tc
Source: Alexandria
Functional: GGA-PBE
Structure: optimized geometry

Cell: 5.480 6.444 9.671 Å, 90.72 106.46 90.00°
Element x y z (fractional)
Dy1 0.425 0.370 0.849
Dy2 0.648 0.132 0.295
Dy3 0.843 0.176 0.686
Dy4 0.962 0.759 0.923
Dy5 0.157 0.824 0.314
Dy6 0.352 0.868 0.705
Dy7 0.575 0.630 0.151
Dy8 0.038 0.241 0.077
Y1 0.763 0.670 0.527
Y2 0.237 0.330 0.473
Tc1 0.500 0.000 0.000

Properties
As for the formation energy from the elements: 0.022 eV per atom. The total magnetization comes out at 0.00 μB/atom.

Compound: Dy2YTc9
Source: Alexandria
Functional: GGA-PBE
Structure: optimized geometry

Cell: 5.357 5.357 9.255 Å, 73.18 73.18 60.00°
Element x y z (fractional)
Dy1 0.856 0.856 0.431
Dy2 0.144 0.144 0.569
Y1 0.000 0.000 0.000
Tc1 0.662 0.662 0.014
Tc2 0.338 0.338 0.986
Tc3 0.500 0.500 0.500
Tc4 0.412 0.412 0.250
Tc5 0.927 0.412 0.250
Tc6 0.412 0.927 0.250
Tc7 0.588 0.588 0.750
Tc8 0.588 0.073 0.750
Tc9 0.073 0.588 0.750

Properties
As for the formation energy from the elements: -0.051 eV per atom. The total magnetization comes out at 0.00 μB/atom.

Compound: Dy2Y3Tc2
Source: Alexandria
Functional: GGA-PBE
Structure: optimized geometry

Cell: 3.825 6.432 8.503 Å, 104.65 102.98 107.32°
Element x y z (fractional)
Dy1 0.655 0.492 0.819
Dy2 0.345 0.508 0.181
Y1 0.500 0.000 0.000
Y2 0.192 0.817 0.566
Y3 0.808 0.183 0.434
Tc1 0.034 0.854 0.213
Tc2 0.966 0.146 0.787

Properties
As for the formation energy from the elements: -0.049 eV per atom. The total magnetization comes out at 0.00 μB/atom.

Compound: Dy3Y2Tc2
Source: Alexandria
Functional: GGA-PBE
Structure: optimized geometry

Cell: 3.933 6.244 8.483 Å, 103.30 103.35 108.40°
Element x y z (fractional)
Dy1 0.500 0.000 0.000
Dy2 0.194 0.819 0.570
Dy3 0.806 0.181 0.430
Y1 0.650 0.486 0.814
Y2 0.350 0.514 0.186
Tc1 0.042 0.869 0.214
Tc2 0.958 0.131 0.786

Properties
As for the formation energy from the elements: -0.060 eV per atom. The total magnetization comes out at 0.00 μB/atom.

Compound: Dy3YTc8
Source: Alexandria
Functional: GGA-PBE
Structure: optimized geometry

Cell: 5.436 5.436 9.390 Å, 72.45 72.45 59.29°
Element x y z (fractional)
Dy1 0.374 0.374 0.875
Dy2 0.001 0.001 0.000
Dy3 0.499 0.499 0.500
Y1 0.876 0.876 0.375
Tc1 0.946 0.437 0.192
Tc2 0.429 0.938 0.683
Tc3 0.450 0.450 0.178
Tc4 0.925 0.925 0.697
Tc5 0.187 0.187 0.438
Tc6 0.688 0.688 0.937
Tc7 0.437 0.946 0.192
Tc8 0.938 0.429 0.683

Properties
As for the formation energy from the elements: -0.143 eV per atom. The total magnetization comes out at 0.00 μB/atom.

Compound: DyZnTc
Source: Alexandria
Functional: GGA-PBE
Structure: optimized geometry

Cell: 5.235 5.436 5.436 Å, 59.72 61.22 61.22°
Element x y z (fractional)
Dy1 0.882 0.368 0.368
Dy2 0.118 0.632 0.632
Zn1 0.500 0.500 0.000
Zn2 0.500 0.000 0.500
Tc1 0.000 0.000 0.000
Tc2 0.500 0.000 0.000

Properties
The calculation puts the energy above the lowest structure with this stoichiometry at 0.000 eV/atom. As for the formation energy from the elements: -0.262 eV per atom. The total magnetization comes out at 0.00 μB/atom.

Compound: Dy8ZnTc2
Source: Alexandria
Functional: GGA-PBE
Structure: optimized geometry

Cell: 5.542 7.783 7.783 Å, 111.95 98.41 98.41°
Element x y z (fractional)
Dy1 0.582 0.334 0.069
Dy2 0.582 0.069 0.334
Dy3 0.192 0.380 0.380
Dy4 0.998 0.243 0.764
Dy5 0.998 0.764 0.243
Dy6 0.803 0.624 0.624
Dy7 0.413 0.938 0.674
Dy8 0.413 0.674 0.938
Zn1 0.024 0.001 0.001
Tc1 0.497 0.689 0.318
Tc2 0.497 0.318 0.689

Properties
As for the formation energy from the elements: -0.034 eV per atom. The total magnetization comes out at 0.00 μB/atom.

Compound: Dy6ZnTc2
Source: Alexandria
Functional: GGA-PBE
Structure: optimized geometry

Cell: 8.437 8.437 8.437 Å, 105.49 111.71 111.28°
Element x y z (fractional)
Dy1 0.536 0.722 0.814
Dy2 0.464 0.278 0.186
Dy3 0.092 0.278 0.814
Dy4 0.908 0.722 0.186
Dy5 0.796 0.765 0.560
Dy6 0.204 0.235 0.440
Dy7 0.204 0.765 0.969
Dy8 0.796 0.235 0.031
Dy9 0.706 0.388 0.681
Dy10 0.294 0.612 0.319
Dy11 0.294 0.975 0.681
Dy12 0.706 0.025 0.319
Zn1 0.000 0.500 0.500
Zn2 0.000 0.000 0.000
Tc1 0.500 0.384 0.884
Tc2 0.500 0.616 0.116
Tc3 0.634 0.000 0.634
Tc4 0.366 0.000 0.366

Properties
As for the formation energy from the elements: -0.111 eV per atom. The total magnetization comes out at 0.00 μB/atom.

Compound: Dy12Zn6Tc
Source: Alexandria
Functional: GGA-PBE
Structure: optimized geometry

Cell: 7.867 7.867 7.867 Å, 90.70 90.70 90.70°
Element x y z (fractional)
Dy1 0.804 0.547 0.445
Dy2 0.445 0.804 0.547
Dy3 0.547 0.445 0.804
Dy4 0.196 0.453 0.555
Dy5 0.555 0.196 0.453
Dy6 0.453 0.555 0.196
Dy7 0.992 0.122 0.335
Dy8 0.878 0.665 0.008
Dy9 0.665 0.008 0.878
Dy10 0.008 0.878 0.665
Dy11 0.122 0.335 0.992
Dy12 0.335 0.992 0.122
Zn1 0.702 0.881 0.263
Zn2 0.737 0.298 0.119
Zn3 0.119 0.737 0.298
Zn4 0.298 0.119 0.737
Zn5 0.263 0.702 0.881
Zn6 0.881 0.263 0.702
Tc1 0.000 0.000 0.000

Properties
As for the formation energy from the elements: -0.077 eV per atom. The total magnetization comes out at 0.00 μB/atom.

Compound: Dy4ZnTc
Source: Alexandria
Functional: GGA-PBE
Structure: optimized geometry

Cell: 7.837 7.837 7.837 Å, 106.80 106.80 114.95°
Element x y z (fractional)
Dy1 0.266 0.961 0.694
Dy2 0.734 0.440 0.706
Dy3 0.711 0.516 0.194
Dy4 0.190 0.984 0.206
Dy5 0.322 0.516 0.806
Dy6 0.778 0.984 0.794
Dy7 0.734 0.028 0.294
Dy8 0.266 0.572 0.306
Zn1 0.248 0.248 0.000
Zn2 0.998 0.498 0.500
Tc1 0.752 0.752 0.000
Tc2 0.502 0.002 0.500

Properties
The calculation puts the energy above the lowest structure with this stoichiometry at 0.293 eV/atom. As for the formation energy from the elements: 0.118 eV per atom. The total magnetization comes out at 0.00 μB/atom.

Compound: Dy4Zn3Tc
Source: Alexandria
Functional: GGA-PBE
Structure: optimized geometry

Cell: 3.527 3.527 14.217 Å, 90.00 90.00 90.00°
Element x y z (fractional)
Zn1 0.500 0.500 0.245
Zn2 0.500 0.500 0.500
Zn3 0.500 0.500 0.755
Tc1 0.500 0.500 0.000
Dy1 0.000 0.000 0.886
Dy2 0.000 0.000 0.114
Dy3 0.000 0.000 0.373
Dy4 0.000 0.000 0.627

Properties
As for the formation energy from the elements: -0.259 eV per atom. The total magnetization comes out at 0.00 μB/atom.

Compound: DyZnTc
Source: Alexandria
Functional: GGA-PBE
Structure: optimized geometry

Cell: 5.078 5.078 6.354 Å, 82.25 127.38 114.14°
Element x y z (fractional)
Dy1 0.269 0.653 0.922
Dy2 0.731 0.347 0.078
Zn1 0.000 0.000 0.500
Zn2 0.500 0.500 0.500
Tc1 0.228 0.003 0.231
Tc2 0.772 0.997 0.769

Properties
The calculation puts the energy above the lowest structure with this stoichiometry at 0.273 eV/atom. As for the formation energy from the elements: 0.012 eV per atom. The total magnetization comes out at 0.00 μB/atom.

Compound: Dy4ZnTc
Source: Alexandria
Functional: GGA-PBE
Structure: optimized geometry

Cell: 6.276 7.516 7.516 Å, 112.72 98.42 98.42°
Element x y z (fractional)
Dy1 0.911 0.630 0.789
Dy2 0.039 0.933 0.278
Dy3 0.589 0.211 0.370
Dy4 0.461 0.722 0.067
Dy5 0.539 0.278 0.933
Dy6 0.411 0.789 0.630
Dy7 0.961 0.067 0.722
Dy8 0.089 0.370 0.211
Zn1 0.750 0.628 0.372
Zn2 0.250 0.372 0.628
Tc1 0.250 0.998 0.002
Tc2 0.750 0.002 0.998

Properties
The calculation puts the energy above the lowest structure with this stoichiometry at 0.000 eV/atom. As for the formation energy from the elements: -0.175 eV per atom. The total magnetization comes out at 0.00 μB/atom.

Compound: Dy2Zn15Tc2
Source: Alexandria
Functional: GGA-PBE
Structure: optimized geometry

Cell: 6.761 6.761 6.761 Å, 83.42 83.42 83.42°
Element x y z (fractional)
Dy1 0.339 0.339 0.339
Dy2 0.661 0.661 0.661
Zn1 0.000 0.500 0.000
Zn2 0.000 0.000 0.500
Zn3 0.500 0.000 0.000
Zn4 0.708 0.000 0.292
Zn5 0.292 0.708 0.000
Zn6 0.000 0.292 0.708
Zn7 0.708 0.292 0.000
Zn8 0.000 0.708 0.292
Zn9 0.292 0.000 0.708
Zn10 0.651 0.151 0.651
Zn11 0.651 0.651 0.151
Zn12 0.151 0.651 0.651
Zn13 0.349 0.849 0.349
Zn14 0.349 0.349 0.849
Zn15 0.849 0.349 0.349
Tc1 0.092 0.092 0.092
Tc2 0.908 0.908 0.908

Properties
As for the formation energy from the elements: -0.176 eV per atom. The total magnetization comes out at 0.00 μB/atom.

Compound: DyZn11Tc
Source: Alexandria
Functional: GGA-PBE
Structure: optimized geometry

Cell: 5.218 6.727 7.023 Å, 81.12 68.19 65.44°
Element x y z (fractional)
Dy1 0.000 0.000 0.000
Zn1 0.285 0.218 0.222
Zn2 0.715 0.782 0.778
Zn3 0.494 0.782 0.222
Zn4 0.506 0.218 0.778
Zn5 0.373 0.642 0.655
Zn6 0.627 0.358 0.345
Zn7 0.972 0.358 0.655
Zn8 0.028 0.642 0.345
Zn9 0.000 0.500 0.000
Zn10 0.500 0.000 0.500
Zn11 0.000 0.000 0.500
Tc1 0.500 0.500 0.000

Properties
As for the formation energy from the elements: -0.128 eV per atom. The total magnetization comes out at 0.00 μB/atom.